ZrAs3C (PBE-GGA, optimized geometry); total magnetic moment = 1.73 μB per cell; total DFT energy (no corrections) = -23.661 eV/cell; E above lowest polymorph = 1.003 eV per atom
1.0
5.176 0.000 0.000
0.000 5.176 0.000
0.000 0.000 5.176
Zr As C
1 3 1
direct
0.000 0.000 0.000 Zr
0.000 0.000 0.500 As
0.000 0.500 0.000 As
0.500 0.000 0.000 As
0.500 0.500 0.500 C

=====

CrGa2FeBi (PBE-GGA, optimized geometry); total magnetic moment = 1.88 μB per cell; total DFT energy (no corrections) = -26.204 eV/cell
1.0
4.646 0.000 0.000
0.000 4.646 0.000
0.000 0.000 4.611
Cr Ga Fe Bi
1 2 1 1
direct
0.000 0.000 0.000 Cr
0.000 0.500 0.500 Ga
0.500 0.000 0.500 Ga
0.000 0.000 0.500 Fe
0.500 0.500 0.000 Bi

=====

SrNiSeN2 (PBE-GGA, optimized geometry); formation energy from raw total energies = 448 meV per atom; total magnetic moment = 3.03 μB per cell; total DFT energy (no corrections) = -25.358 eV/cell; E above lowest polymorph = 0.000 eV per atom
1.0
4.047 0.000 0.000
0.000 4.047 0.000
0.000 0.000 4.986
Sr Ni Se N
1 1 1 2
direct
0.000 0.000 0.000 Sr
0.500 0.500 0.500 Ni
0.500 0.500 0.000 Se
0.000 0.500 0.500 N
0.500 0.000 0.500 N

=====

BaMg3N (PBE-GGA, optimized geometry); formation energy from raw total energies = 192 meV per atom; total magnetic moment = 0.00 μB per cell; total DFT energy (no corrections) = -14.070 eV/cell; E above lowest polymorph = 0.000 eV per atom
1.0
4.828 0.000 0.000
0.000 4.828 0.000
0.000 0.000 4.828
Ba Mg N
1 3 1
direct
0.000 0.000 0.000 Ba
0.000 0.500 0.500 Mg
0.500 0.000 0.500 Mg
0.500 0.500 0.000 Mg
0.500 0.500 0.500 N

=====

Be2Ni3B (PBE-GGA, optimized geometry); total magnetic moment = 0.00 μB per cell; total DFT energy (no corrections) = -67.009 eV/cell
1.0
3.722 0.000 0.000
0.000 11.240 0.000
0.000 0.000 2.477
Be Ni B
4 6 2
direct
0.000 0.179 0.000 Be
0.000 0.821 0.000 Be
0.500 0.321 0.000 Be
0.500 0.679 0.000 Be
0.000 0.000 0.500 Ni
0.000 0.350 0.500 Ni
0.000 0.650 0.500 Ni
0.500 0.150 0.500 Ni
0.500 0.500 0.500 Ni
0.500 0.850 0.500 Ni
0.000 0.500 0.000 B
0.500 0.000 0.000 B

=====

LiCaIn4Pd2 (PBE-GGA, optimized geometry); total magnetic moment = 0.00 μB per cell; total DFT energy (no corrections) = -28.835 eV/cell
1.0
2.315 1.336 9.317
-2.315 1.336 9.317
0.000 -2.673 9.317
Li Ca In Pd
1 1 4 2
direct
0.000 0.000 0.000 Li
0.500 0.500 0.500 Ca
0.102 0.102 0.102 In
0.370 0.370 0.370 In
0.630 0.630 0.630 In
0.898 0.898 0.898 In
0.268 0.268 0.268 Pd
0.732 0.732 0.732 Pd

=====

What did the second record say?
CrGa2FeBi (PBE-GGA, optimized geometry); total magnetic moment = 1.88 μB per cell; total DFT energy (no corrections) = -26.204 eV/cell
1.0
4.646 0.000 0.000
0.000 4.646 0.000
0.000 0.000 4.611
Cr Ga Fe Bi
1 2 1 1
direct
0.000 0.000 0.000 Cr
0.000 0.500 0.500 Ga
0.500 0.000 0.500 Ga
0.000 0.000 0.500 Fe
0.500 0.500 0.000 Bi